(1)
## LaPrErTh (PBE)

Data for an optimized crystal structure of LaPrErTh.

extended XYZ file:
```
4
Lattice="-0.7613 4.0023 -4.1004 -4.6757 -0.1915 -3.3929 -4.1553 3.9762 0.5784" Properties=species:S:1:pos:R:3 pbc="T T T"
Th 0.0000 0.0000 0.0000
La -7.1942 5.8403 -5.1862
Er -4.7962 3.8935 -3.4575
Pr -2.3981 1.9468 -1.7287
```

## Properties
Energy relative to the lowest polymorph listed for this composition = 0.1789 eV/atom
Energy relative to the elements = 0.21 eV/atom
SG = F-43m



(2)
## La4Pr2ErTh (PBE)

Data for an optimized crystal structure of La4Pr2ErTh.

extended XYZ file:
```
8
Lattice="5.2186 0.0000 0.0000 0.0000 5.0792 1.0973 0.0000 2.8869 11.2373" Properties=species:S:1:pos:R:3 pbc="T T T"
La 0.0001 5.9823 9.2138
La 5.2186 1.9837 3.1206
La 2.6094 4.5261 3.6622
La 2.6093 3.4399 8.6723
Pr 2.6093 6.5226 6.7162
Pr 5.2186 2.8870 11.2369
Th 0.0000 3.9830 6.1676
Er 2.6093 2.5396 0.5488
```

## Properties
Energy relative to the elements = 0.04 eV/atom
SG = Pmmm



(3)
## LaPrEr2Tl4 (PBE)

Data for an optimized crystal structure of LaPrEr2Tl4.

extended XYZ file:
```
8
Lattice="-0.0520 -4.0785 -3.6392 4.3858 -0.9281 -3.1280 4.6888 -7.2453 3.9476" Properties=species:S:1:pos:R:3 pbc="T T T"
La 0.0000 0.0000 0.0000
Pr 4.5113 -6.1259 -1.4098
Er 2.2563 -3.0641 -0.7036
Er 6.7663 -9.1877 -2.1160
Tl 5.5549 -7.1055 -4.4323
Tl 3.4677 -5.1464 1.6127
Tl 3.3003 -4.0443 -3.7254
Tl 5.7224 -8.2076 0.9058
```

## Properties
Energy relative to the elements = -0.36 eV/atom
SG = R-3m



(4)
## La2Pr6Er3Tl (PBE)

Data for an optimized crystal structure of La2Pr6Er3Tl.

extended XYZ file:
```
12
Lattice="6.2579 -0.0040 -0.0124 -3.1309 5.4184 -0.0124 -1.0193 -1.7650 11.8606" Properties=species:S:1:pos:R:3 pbc="T T T"
Er 1.0538 1.8247 5.9178
Er -2.0725 3.6302 5.9178
Er 4.1801 0.0191 5.9178
Pr 2.1154 3.6629 2.9983
Pr 2.0432 0.0080 3.0087
Pr 0.0645 3.6414 8.8270
Pr 3.1219 1.8757 8.8270
Pr -1.0142 1.7737 3.0087
Pr -0.0078 -0.0135 8.8373
La 3.1293 1.8029 -0.0124
La -0.0023 3.6115 -0.0124
Tl 0.0000 0.0000 0.0000
```

## Properties
Energy relative to the elements = -0.04 eV/atom
SG = C2/m



(5)
## LaPrErTl (PBE)

Data for an optimized crystal structure of LaPrErTl.

extended XYZ file:
```
4
Lattice="5.6348 0.0000 0.0000 2.8174 4.8799 0.0000 2.8174 1.6266 4.6008" Properties=species:S:1:pos:R:3 pbc="T T T"
Tl 0.0000 0.0000 0.0000
Pr 8.4523 4.8799 3.4506
La 2.8174 1.6266 1.1502
Er 5.6348 3.2533 2.3004
```

## Properties
Energy relative to the lowest polymorph listed for this composition = 0.0000 eV/atom
Energy relative to the elements = -0.09 eV/atom
SG = F-43m



(6)
## LaPr2ErTl4 (PBE)

Data for an optimized crystal structure of LaPr2ErTl4.

extended XYZ file:
```
8
Lattice="5.5202 0.0000 0.0000 2.7601 4.7806 0.0000 2.7601 1.5935 9.0755" Properties=species:S:1:pos:R:3 pbc="T T T"
Tl 5.5202 3.1871 7.8768
Tl 8.2802 4.7806 3.4560
Tl 2.7601 1.5935 5.6195
Tl 5.5202 3.1871 1.1987
Er 5.5202 3.1871 4.5377
Pr 2.7601 1.5935 2.3089
Pr 8.2802 4.7806 6.7666
La 0.0000 0.0000 0.0000
```

## Properties
Energy relative to the elements = -0.37 eV/atom
SG = R-3m



(7)
## LaPrErTl (PBE)

Data for an optimized crystal structure of LaPrErTl.

extended XYZ file:
```
4
Lattice="5.5660 0.0000 0.0000 0.0000 5.5660 0.0000 -2.7830 -2.7830 3.9375" Properties=species:S:1:pos:R:3 pbc="T T T"
Tl 0.0000 2.7830 1.9687
Er 0.0000 0.0000 0.0000
La 2.7830 0.0000 1.9687
Pr 2.7830 2.7830 0.0000
```

## Properties
Energy relative to the lowest polymorph listed for this composition = 0.0675 eV/atom
Energy relative to the elements = -0.02 eV/atom
SG = F-43m



(8)
## La2PrErTl2 (PBE)

Data for an optimized crystal structure of La2PrErTl2.

extended XYZ file:
```
12
Lattice="5.1950 0.0000 0.0000 0.0000 7.0502 0.0000 0.0000 0.0000 10.3371" Properties=species:S:1:pos:R:3 pbc="T T T"
Tl 2.5975 1.6033 3.9881
Tl 0.0000 2.0666 8.8076
Tl 0.0000 5.5917 1.5295
Tl 2.5975 5.1284 6.3491
La 0.0000 5.7582 8.5293
La 2.5975 4.0894 9.6975
La 2.5975 0.5643 0.6396
La 0.0000 2.2331 1.8078
Er 2.5975 1.1853 7.1864
Er 2.5975 4.7104 3.1508
Pr 0.0000 6.7691 4.6950
Pr 0.0000 3.2440 5.6421
```

## Properties
Energy relative to the elements = -0.28 eV/atom
SG = Pmc2_1



(9)
## LaPr3Er2Tm6 (PBE)

Data for an optimized crystal structure of LaPr3Er2Tm6.

extended XYZ file:
```
12
Lattice="-0.9996 5.8822 1.6663 -4.7335 -3.9867 -0.2770 3.6524 -3.4736 10.6224" Properties=species:S:1:pos:R:3 pbc="T T T"
Pr 0.2032 2.4979 6.6531
Pr -1.0404 -0.7890 6.0059
Pr -2.2840 -4.0759 5.3586
Tm -3.3857 0.5577 3.6730
Tm -2.1748 -2.8430 8.7066
Tm 1.3050 -2.1358 8.3387
Tm -1.1553 -2.0371 2.6549
Tm 0.0940 1.2649 3.3052
Tm -0.9254 0.4590 9.3568
Er -2.2436 2.5944 1.0189
Er -3.4896 -0.6988 0.3704
La 0.0000 0.0000 0.0000
```

## Properties
Energy relative to the elements = 0.03 eV/atom
SG = C2/m



(10)
## LaPrErTm2 (PBE)

Data for an optimized crystal structure of LaPrErTm2.

extended XYZ file:
```
10
Lattice="-0.6744 2.4235 -5.0079 3.9945 -6.6313 -3.7471 -6.3488 -3.3792 -0.7803" Properties=species:S:1:pos:R:3 pbc="T T T"
Er -5.0987 -1.3229 -3.0886
Er -1.9245 0.3673 -2.6997
Tm -3.9575 -6.6934 -5.8420
Tm 0.9288 -0.8936 -3.6934
Tm -2.2456 -2.5832 -4.0834
Tm -0.7831 -5.0038 -5.4519
La 0.0000 0.0000 0.0000
La -3.1744 -1.6896 -0.3902
Pr 0.4100 -4.1603 -2.0690
Pr -3.4387 -3.4267 -7.4664
```

## Properties
Energy relative to the elements = 0.23 eV/atom
SG = Pmmm



(11)
## La2PrEr3Tm6 (PBE)

Data for an optimized crystal structure of La2PrEr3Tm6.

extended XYZ file:
```
12
Lattice="-5.3658 -2.5850 1.6090 4.3462 -3.3916 -2.7694 4.7524 -0.7642 10.6823" Properties=species:S:1:pos:R:3 pbc="T T T"
Tm 4.3898 -5.1691 6.3488
Tm 3.2834 -2.0430 7.6594
Tm 1.1557 -4.9005 7.8068
Tm 2.5772 -1.8403 1.7151
Tm 0.4495 -4.6978 1.8625
Tm -0.6569 -1.5717 3.1731
La -2.1273 -2.8540 0.1490
La 1.1078 -3.1227 -1.3094
Er -1.3707 -3.1015 6.2203
Er 1.8664 -3.3704 4.7609
Er 5.1036 -3.6393 3.3015
Pr 0.0000 0.0000 0.0000
```

## Properties
Energy relative to the elements = 0.03 eV/atom
SG = C2/m



(12)
## LaPr2ErTm (PBE)

Data for an optimized crystal structure of LaPr2ErTm.

extended XYZ file:
```
10
Lattice="6.4091 0.0000 0.0000 0.0000 9.1724 0.5185 0.0000 -2.4539 5.9363" Properties=species:S:1:pos:R:3 pbc="T T T"
Pr 4.4035 1.2859 4.0909
Pr 2.0057 2.5128 1.1228
Pr 2.0057 5.4326 2.3638
Pr 4.4035 4.2057 5.3320
Tm 3.2428 -0.6135 1.4841
Tm 3.1663 -1.8404 4.4522
La 0.0000 0.0000 0.0000
La 0.0000 -1.2269 2.9681
Er 1.0746 2.7458 4.7114
Er 5.3345 3.9727 1.7433
```

## Properties
Energy relative to the elements = 0.27 eV/atom
SG = P2/c